First-principles (PBE) data for a relaxed RbRe3Br10 crystal, as listed in the Open Quantum Materials Database.

space-group type	No. 12

Cell: 9.2376 9.2376 10.3157 Å, 91.58 91.58 73.07°
Closest atoms and distances in Å follow each position.
Element x y z (fractional)
Br 0.6281 0.6281 0.0357  1 Re 2.50
Br 0.1586 0.1586 0.0492  1 Re 2.75
Br 0.9958 0.5289 0.1826  2 Re 2.56-2.57
Br 0.5289 0.9958 0.1826  2 Re 2.56-2.57
Br 0.9254 0.9254 0.2562  1 Re 2.50
Br 0.7028 0.3897 0.2977  1 Re 2.45
Br 0.3897 0.7028 0.2977  1 Re 2.45
Br 0.3588 0.3588 0.4311  2 Re 2.56
Br 0.9980 0.3199 0.4961  1 Re 2.51
Br 0.3199 0.9980 0.4961  1 Re 2.51
Br 0.6801 0.0020 0.5039  1 Re 2.51
Br 0.0020 0.6801 0.5039  1 Re 2.51
Br 0.6412 0.6412 0.5689  2 Re 2.56
Br 0.6103 0.2972 0.7023  1 Re 2.45
Br 0.2972 0.6103 0.7023  1 Re 2.45
Br 0.0746 0.0746 0.7438  1 Re 2.50
Br 0.4711 0.0042 0.8174  2 Re 2.56-2.57
Br 0.0042 0.4711 0.8174  2 Re 2.56-2.57
Br 0.8414 0.8414 0.9508  1 Re 2.75
Br 0.3719 0.3719 0.9643  1 Re 2.50
Rb 0.7862 0.2138 0.0000  8 Br 3.35-3.73
Rb 0.2138 0.7862 0.0000  8 Br 3.35-3.73
Re 0.7625 0.7625 0.1879  2 Re 2.45, 5 Br 2.50-2.75
Re 0.8116 0.5902 0.3715  2 Re 2.44-2.45, 4 Br 2.45-2.56
Re 0.5902 0.8116 0.3715  2 Re 2.44-2.45, 4 Br 2.45-2.56
Re 0.4098 0.1884 0.6285  2 Re 2.44-2.45, 4 Br 2.45-2.56
Re 0.1884 0.4098 0.6285  2 Re 2.44-2.45, 4 Br 2.45-2.56
Re 0.2375 0.2375 0.8121  2 Re 2.45, 5 Br 2.50-2.75

---

First-principles (PBE) data for a relaxed Rb2ScZnBr6 crystal, as listed in the Open Quantum Materials Database.

space-group type	No. 139

Cell: 7.7979 7.7979 7.7979 Å, 120.30 120.30 89.48°
Closest atoms and distances in Å follow each position.
Element x y z (fractional)
Br 0.2424 0.2424 0.0000  1 Sc 2.69, 1 Zn 2.85
Br 0.7558 0.2442 0.0000  1 Sc 2.68, 1 Zn 2.81
Br 0.2442 0.7558 0.0000  1 Sc 2.68, 1 Zn 2.81
Br 0.7576 0.7576 0.0000  1 Sc 2.69, 1 Zn 2.85
Br 0.2442 0.2442 0.4885  1 Sc 2.68, 1 Zn 2.81
Br 0.7558 0.7558 0.5115  1 Sc 2.68, 1 Zn 2.81
Rb 0.7500 0.2500 0.5000  12 Br 3.88-3.90
Rb 0.2500 0.7500 0.5000  12 Br 3.88-3.90
Sc 0.0000 0.0000 0.0000  6 Br 2.68-2.69
Zn 0.5000 0.5000 0.0000  6 Br 2.81-2.85

---

First-principles (PBE) data for a relaxed RbW2Se2Br6 crystal, as listed in the Open Quantum Materials Database.

space-group type	No. 71

Cell: 8.6324 8.6324 8.6324 Å, 147.55 102.60 86.45°
Closest atoms and distances in Å follow each position.
Element x y z (fractional)
Br 0.3358 0.3358 0.0000  2 W 2.57
Br 0.6642 0.6642 0.0000  2 W 2.57
Br 0.6793 0.3601 0.3191  1 W 2.60
Br 0.9590 0.6399 0.3191  1 W 2.60
Br 0.0410 0.3601 0.6809  1 W 2.60
Br 0.3207 0.6399 0.6809  1 W 2.60
Rb 0.0000 0.0000 0.0000  8 Br 3.57, 2 Se 3.82
Se 0.3540 0.0000 0.3540  2 W 2.41
Se 0.6460 0.0000 0.6460  2 W 2.41
W 0.6414 0.5000 0.1414  2 Se 2.41, 4 Br 2.57-2.60
W 0.3586 0.5000 0.8586  2 Se 2.41, 4 Br 2.57-2.60

---

| no. | total DFT energy (no corrections) (eV per atom) | mass density (Mg/m³) | magnetization (μB per formula unit) |
| --- | --- | --- | --- |
| 1 | -4.467 | 5.69 | 0.00 |
| 2 | -3.364 | 3.79 | 0.02 |
| 3 | -4.530 | 5.53 | 0.01 |